This record from the Alexandria database describes a relaxed structure of NiAgP2. The functional is GGA-PBE.

a b c (Å): 4.4300 4.4300 3.0580
angles (deg): 90.10 90.10 103.11
Positions (direct):
Ag  0.5000  0.0000  0.5000
Ni  0.0000  0.5000  0.5000
P  0.0000  0.0000  0.0000
P  0.5000  0.5000  0.0000

Computed properties:
**Energy above the lowest structure with this stoichiometry**: 1.768 eV/f.u.
**ΔH_f (0 K)**: 0.365 eV per atom
**Crystal system**: monoclinic